(1)
PuAl2PdO8: relaxed, GGA-PBE.

## Properties
The raw formation energy is -2.08 eV per atom. As for the space group: P2/m. The volume comes out at 10.949 Å³ per atom. Its final energy is -91.69 eV for the cell shown. For the total magnetization, the calculation gives 1.99 μB per cell.

Geometry as POSCAR:
```
PuAl2PdO8
1.0
4.6816 -0.0922 -0.0029
-0.0645 4.6767 -0.0054
0.0039 0.0070 6.0023
O Al Pu Pd
8 2 1 1
Cartesian
0.9139 3.6942 4.4903 O
1.4599 1.4431 2.9986 O
3.1611 3.1485 2.9954 O
3.7071 0.8974 1.5037 O
0.9118 3.6906 1.5023 O
3.1427 3.1306 5.9966 O
3.7092 0.9010 4.4917 O
1.4784 1.4609 -0.0027 O
2.3115 2.2975 4.4344 Al
2.3096 2.2941 1.5596 Al
0.0000 0.0000 0.0000 Pu
0.0020 0.0035 3.0012 Pd
```

=====

(2)
Rb2AlPdO4: relaxed, GGA-PBE.

## Properties
The raw formation energy is -1.44 eV per atom. As for the space group: Fddd. The volume comes out at 21.707 Å³ per atom. Its final energy is -84.44 eV for the cell shown. For the total magnetization, the calculation gives 0.00 μB per cell.

Geometry as POSCAR:
```
Rb2AlPdO4
1.0
-5.2778 1.5617 -0.5462
-4.1981 -5.0808 -1.9666
-4.3125 -1.5341 9.2802
O Al Rb Pd
8 2 4 2
Cartesian
-3.6903 -2.1532 3.3412 O
-9.7507 -3.0028 3.4621 O
-4.5234 0.0170 -0.0941 O
-5.6262 -2.0919 8.2206 O
-7.2359 -3.3720 2.4247 O
-5.1759 -3.8450 -1.1442 O
-6.9000 -1.5783 4.3067 O
-12.2514 -4.1865 6.5524 O
0.0000 0.0000 0.0000 Al
-8.2137 -2.1362 3.2471 Al
-8.8163 -2.9697 6.6871 Rb
-5.8804 0.7282 2.8938 Rb
-7.6110 -1.3026 -0.1928 Rb
-3.7099 -0.7005 5.8402 Rb
-2.6389 0.7809 -0.2731 Pd
-5.5748 -2.9170 3.5202 Pd
```

=====

Question: Which formula does entry 1 have?
Answer: PuAl2PdO8